Compound: LiReSi2Ge
Source: the Alexandria database
Functional: PBE
Structure: relaxed

The structure in extended XYZ format:
```
5
Lattice="4.725 0.000 0.000 0.000 4.886 0.000 0.000 0.000 4.725" Properties=species:S:1:pos:R:3 pbc="T T T"
Re 0.000 0.000 0.000
Ge 0.000 2.443 0.000
Si 0.000 0.000 2.363
Si 2.363 0.000 0.000
Li 2.363 2.443 2.363
```

Calculated values
Its crystal system is tetragonal. As for the uncorrected formation energy: 1.80 eV per formula unit.


Compound: Er2ZnRu
Source: the Alexandria database
Functional: PBE
Structure: relaxed

The structure in extended XYZ format:
```
4
Lattice="-0.784 -3.099 -1.200 1.958 0.565 -2.739 5.640 -2.767 3.460" Properties=species:S:1:pos:R:3 pbc="T T T"
Ru 0.587 -1.267 -1.970
Zn 3.407 -2.650 -0.239
Er 4.348 -2.133 2.667
Er 1.292 -0.634 0.793
```

Calculated values
Its crystal system is tetragonal. The formation energy comes out at -443 meV per atom. The offset from the most stable computed form comes out at 0.000 eV per formula unit.


Compound: KSbMo2
Source: the Alexandria database
Functional: PBE
Structure: relaxed

The structure in extended XYZ format:
```
4
Lattice="-3.582 4.711 1.745 -2.693 -5.056 -2.294 -1.441 -1.025 2.160" Properties=species:S:1:pos:R:3 pbc="T T T"
K -2.067 -3.040 -0.067
Mo 0.000 0.000 0.000
Mo -3.137 -0.172 -0.274
Sb -2.511 1.843 1.953
```

Calculated values
Its crystal system is monoclinic. As for the uncorrected formation energy: 4.73 eV per formula unit.